Record 1
19
Lattice="-0.9415 6.1568 1.0873 -1.6712 -0.5444 6.0733 5.6913 1.2179 2.4699" Properties=species:S:1:pos:R:3 comment="Sm2MgNi16 PBE optimized geometry" crystal_system=trigonal spacegroup=R3m energy_ev_per_atom=-5.658 dos_at_fermi_per_ev_cell=24.39 delta_e_f_kcal_per_mol_atoms=-4.81 pbc="T T T"
Sm 2.0085 4.4563 6.2832
Sm 1.0482 2.3256 3.2789
Ni 2.4863 1.4043 5.7669
Ni -0.4614 3.0468 0.5473
Ni 0.2129 2.0617 6.3438
Ni 2.0403 2.1474 8.1273
Ni 2.8129 0.6087 1.2298
Ni 0.3288 0.7295 1.0285
Ni -0.6325 4.1375 7.5702
Ni 2.5519 6.8457 4.6315
Ni -0.8217 -0.2613 3.0087
Ni 3.9118 2.9471 4.5334
Ni 4.5296 5.3731 5.0438
Ni 2.8503 4.7462 3.2804
Ni -0.8214 3.8673 5.0774
Ni 0.5795 5.4284 3.8389
Ni -0.4149 6.1356 6.0835
Ni 4.2356 2.6729 7.0529
Mg 2.8013 6.2153 8.7633

***

Record 2
4
Lattice="-6.2625 -2.2362 2.0997 4.5392 -0.7480 3.1013 -1.1064 1.8495 2.5483" Properties=species:S:1:pos:R:3 comment="LiCdSb2 PBE optimized geometry" crystal_system=monoclinic spacegroup=C2/m energy_ev_per_atom=-2.883 dos_at_fermi_per_ev_cell=1.47 e_form_raw_kcal_per_mol_atoms=-2.6 pbc="T T T"
Sb 0.0000 0.0000 0.0000
Sb -3.6845 -0.1933 2.3240
Cd 1.7164 0.5508 2.8248
Li -0.8617 -1.4921 2.6005

***

Record 3
4
Lattice="-2.0460 -3.1656 -3.1554 2.0650 1.1000 -2.4424 4.1135 -4.2444 1.5910" Properties=species:S:1:pos:R:3 comment="YInHg2 PBE optimized geometry" crystal_system=monoclinic spacegroup=Pm energy_ev_per_atom=-2.713 dos_at_fermi_per_ev_cell=1.77 delta_e_f_kcal_per_mol_atoms=-6.02 pbc="T T T"
In 2.5929 -1.8794 0.2043
Hg 0.5251 -2.3704 -1.7913
Hg 4.5783 -3.9071 0.9512
Y 3.6390 -3.9697 -2.2059

***

Record 4
8
Lattice="-0.2951 -3.9156 1.0679 4.5800 1.2065 5.6893 -3.9678 1.8848 5.8146" Properties=species:S:1:pos:R:3 comment="Pm4PtSe2Cl PBE optimized geometry" crystal_system=monoclinic spacegroup=P2/m energy_ev_per_atom=-5.797 dos_at_fermi_per_ev_cell=4.92 e_form_raw_kcal_per_mol_atoms=-36.1 pbc="T T T"
Pm -0.2045 -3.1303 3.9722
Pm 2.1714 -0.5665 6.2763
Pm -1.8543 -0.2578 6.2955
Pm 0.5216 2.3060 8.5996
Pt 0.3060 1.5456 5.7519
Se -3.9678 1.8848 5.8146
Se -2.1314 -1.0154 3.4412
Cl 2.1425 -1.3546 3.3786

***

Record 5
3
Lattice="-0.6254 0.4341 4.2994 -4.3211 -0.0954 -0.6189 2.5064 -4.6060 -1.3875" Properties=species:S:1:pos:R:3 comment="LiEuSb PBE optimized geometry" crystal_system=tetragonal spacegroup=I4mm energy_ev_per_atom=-6.047 dos_at_fermi_per_ev_cell=10.25 e_form_raw_kcal_per_mol_atoms=-14.1 pbc="T T T"
Eu -2.4662 -0.7753 1.9366
Sb -2.4425 -3.9480 2.2604
Li 0.0185 -2.4803 0.2531

***

Record 6
3
Lattice="-3.2751 -0.3181 2.6650 -0.0056 -2.9878 3.0004 0.4669 1.0827 4.0669" Properties=species:S:1:pos:R:3 comment="CrCdRu PBE optimized geometry" polymorph_energy_mev_per_atom=494 crystal_system=cubic spacegroup=F-43m energy_ev_per_atom=-5.890 dos_at_fermi_per_ev_cell=1.67 delta_e_f_kcal_per_mol_atoms=16.48 pbc="T T T"
Cr -2.1104 -1.6674 7.2992
Ru 0.0000 0.0000 0.0000
Cd -1.4069 -1.1116 4.8661